A relaxed Tl5Ga2Bi5 crystal, computed with PBE.

The structure in POSCAR format:
```
Tl5Ga2Bi5
1.0
5.409 -0.201 0.539
2.437 4.833 0.539
-0.907 -0.535 13.781
Ga Tl Bi
2 5 5
Cartesian
7.440 4.392 3.980
-0.501 -0.295 10.879
1.744 1.029 4.696
5.196 3.067 10.163
2.572 1.518 1.340
3.470 2.048 7.430
4.368 2.579 13.519
6.357 3.753 6.605
2.202 1.300 11.155
4.738 2.797 3.704
0.000 0.000 0.000
0.582 0.344 8.255
```

Properties
Raw total energy, eV/atom: -3.04
Calculated formation energy, kJ per mole of atoms: 6.54

=====

A relaxed AcInGe2 crystal, computed with PBE.

The structure in POSCAR format:
```
AcInGe2
1.0
-0.876 4.265 -0.487
0.412 -0.466 -4.818
-4.742 -1.010 -0.308
Ac Ge In
1 2 1
Cartesian
-2.603 1.395 -2.807
0.206 -0.233 -2.409
-2.371 -0.505 -0.154
-0.438 2.133 -0.244
```

Properties
Raw total energy, eV/atom: -4.37
Calculated formation energy, kJ per mole of atoms: -34.08
Energy relative to the lowest polymorph listed for this composition, eV per atom: 0.046